## MgBeCd2P (PBE)

Data for a relaxed structure of MgBeCd2P.

The structure in POSCAR format:
```
MgBeCd2P
1.0
5.2083 0.0000 0.0000
0.0000 5.2083 0.0000
0.0000 0.0000 4.5796
Mg Be Cd P
1 1 2 1
Cartesian
0.0000 0.0000 0.0000
0.0000 0.0000 2.2898
0.0000 2.6041 0.0000
2.6041 0.0000 0.0000
2.6041 2.6041 2.2898
```

Values from the calculation:
- ΔE_f (meV per atom) = 1151.6
- space-group type = P4/mmm, No. 123
- uncorrected energy (eV/atom) = -1.361
- mass density (g/cm3) = 3.9

=====

## Mg2Be2CdPt5 (PBE)

Data for a relaxed structure of Mg2Be2CdPt5.

The structure in POSCAR format:
```
Mg2Be2CdPt5
1.0
9.4014 0.0000 0.0000
0.0000 9.4014 0.0000
0.0000 0.0000 3.4295
Mg Be Cd Pt
4 4 2 10
Cartesian
1.6457 3.0550 0.0000
3.0550 7.7557 0.0000
6.3464 1.6457 0.0000
7.7557 6.3464 0.0000
1.1616 5.8623 0.0000
3.5391 1.1616 0.0000
5.8623 8.2398 0.0000
8.2398 3.5391 0.0000
0.0000 0.0000 0.0000
4.7007 4.7007 0.0000
0.0000 4.7007 1.7147
0.6875 7.3650 1.7147
2.0363 0.6875 1.7147
2.6643 5.3882 1.7147
4.0131 2.6643 1.7147
4.7007 0.0000 1.7147
5.3882 6.7370 1.7147
6.7370 4.0131 1.7147
7.3650 8.7138 1.7147
8.7138 2.0363 1.7147
```

Values from the calculation:
- ΔE_f (meV per atom) = -695.4
- space-group type = P4/mbm, No. 127
- uncorrected energy (eV/atom) = -4.871
- mass density (g/cm3) = 12.6

=====

## MgBeCdRh2 (PBE)

Data for a relaxed structure of MgBeCdRh2.

The structure in POSCAR format:
```
MgBeCdRh2
1.0
4.2477 0.0000 0.0000
0.0000 4.2477 0.0000
0.0000 0.0000 4.3714
Mg Be Cd Rh
1 1 1 2
Cartesian
0.0000 0.0000 0.0000
2.1239 2.1239 2.1857
2.1239 2.1239 0.0000
0.0000 2.1239 2.1857
2.1239 0.0000 2.1857
```

Values from the calculation:
- ΔE_f (meV per atom) = -91.4
- space-group type = P4/mmm, No. 123
- uncorrected energy (eV/atom) = -4.279
- mass density (g/cm3) = 7.4

=====

## MgScBe2Cd (PBE)

Data for a relaxed structure of MgScBe2Cd.

The structure in POSCAR format:
```
MgScBe2Cd
1.0
4.4843 0.0000 0.0000
0.0000 4.4843 0.0000
0.0000 0.0000 4.8915
Mg Sc Be Cd
1 1 2 1
Cartesian
0.0000 0.0000 0.0000
2.2421 2.2421 0.0000
0.0000 2.2421 2.4457
2.2421 0.0000 2.4457
0.0000 0.0000 2.4457
```

Values from the calculation:
- ΔE_f (meV per atom) = 694.3
- space-group type = P4/mmm, No. 123
- uncorrected energy (eV/atom) = -2.564
- mass density (g/cm3) = 3.4

=====

## MgScBeCd (PBE)

Data for a relaxed structure of MgScBeCd.

The structure in POSCAR format:
```
MgScBeCd
1.0
6.6449 0.0000 0.0000
0.0000 6.6449 0.0000
0.0000 0.0000 6.6449
Mg Sc Be Cd
4 4 4 4
Cartesian
0.0000 0.0000 0.0000
0.0000 3.3225 3.3225
3.3225 0.0000 3.3225
3.3225 3.3225 0.0000
0.0000 0.0000 3.3225
0.0000 3.3225 0.0000
3.3225 0.0000 0.0000
3.3225 3.3225 3.3225
1.6612 1.6612 1.6612
1.6612 4.9837 4.9837
4.9837 1.6612 4.9837
4.9837 4.9837 1.6612
1.6612 1.6612 4.9837
1.6612 4.9837 1.6612
4.9837 1.6612 1.6612
4.9837 4.9837 4.9837
```

Values from the calculation:
- ΔE_f (meV per atom) = -11.3
- space-group type = F-43m, No. 216
- uncorrected energy (eV/atom) = -3.153
- mass density (g/cm3) = 4.3

=====

## SmMgBeCd (PBE)

Data for a relaxed structure of SmMgBeCd.

The structure in POSCAR format:
```
SmMgBeCd
1.0
6.9680 0.0000 0.0000
0.0000 6.9680 0.0000
0.0000 0.0000 6.9680
Sm Mg Be Cd
4 4 4 4
Cartesian
0.0000 0.0000 0.0000
0.0000 3.4840 3.4840
3.4840 0.0000 3.4840
3.4840 3.4840 0.0000
0.0000 0.0000 3.4840
0.0000 3.4840 0.0000
3.4840 0.0000 0.0000
3.4840 3.4840 3.4840
1.7420 1.7420 5.2260
1.7420 5.2260 1.7420
5.2260 1.7420 1.7420
5.2260 5.2260 5.2260
1.7420 1.7420 1.7420
1.7420 5.2260 5.2260
5.2260 1.7420 5.2260
5.2260 5.2260 1.7420
```

Values from the calculation:
- ΔE_f (meV per atom) = -32.8
- space-group type = F-43m, No. 216
- uncorrected energy (eV/atom) = -2.772
- mass density (g/cm3) = 5.8